A plane-wave DFT calculation with PBE with a Hubbard U was carried out for a geometry-optimized BaYV2O8 structure.

Cell and atoms, written as POSCAR:
```
BaYV2O8
1.0
-1.190 3.468 4.477
-4.309 -2.360 -3.057
-0.010 -6.068 4.698
Ba V O Y
1 2 8 1
direct
0.000 0.000 0.000
0.667 0.333 0.232
0.333 0.667 0.768
0.166 0.335 0.697
0.834 0.665 0.303
0.667 0.333 0.010
0.335 0.169 0.303
0.333 0.667 0.990
0.665 0.831 0.697
0.831 0.166 0.303
0.169 0.834 0.697
0.000 0.000 0.500
```

Computed properties:
The spin magnetization comes out at 0.09 μB per atom. For the total DFT energy (no corrections), the calculation gives -7.6051 eV/atom. As for the volume: 223 Å³/cell. The density comes out at 3.404 g/cm3.